(1)
This record from the Alexandria database describes a relaxed structure of CsTmI6. The functional is PBE.

Values from the calculation:
Total moment = 0.00 μB per cell
Formation energy (no corrections) = -89.0 kJ per mole of atoms

abc: 7.3074 7.3074 7.3074
angles: 95.41 95.41 95.41
Closest atoms and distances in Å follow each position.
Positions (direct):
I: 0.7860 0.4073 0.7860  1 Tm 2.98
I: 0.7860 0.7860 0.4073  1 Tm 2.98
I: 0.2140 0.2140 0.5927  1 Tm 2.98
Cs: 0.0000 0.0000 0.0000  6 I 3.88
Tm: 0.5000 0.5000 0.5000  6 I 2.98
I: 0.5927 0.2140 0.2140  1 Tm 2.98
I: 0.4073 0.7860 0.7860  1 Tm 2.98
I: 0.2140 0.5927 0.2140  1 Tm 2.98

(2)
This record from the Alexandria database describes a relaxed structure of CsCd2Cu2. The functional is PBE.

Values from the calculation:
Total moment = 0.00 μB per cell
Energy of formation from the pure elements = 0.22 eV/atom

abc: 4.9633 4.9633 6.5233
angles: 67.64 67.64 90.00
Closest atoms and distances in Å follow each position.
Positions (direct):
Cd: 0.6471 0.6471 0.7058  4 Cu 2.73
Cu: 0.7500 0.2500 0.5000  4 Cd 2.73
Cs: 0.0000 0.0000 0.0000  8 Cu 3.70, 10 Cd 3.86-3.88
Cd: 0.3529 0.3529 0.2942  4 Cu 2.73
Cu: 0.2500 0.7500 0.5000  4 Cd 2.73

(3)
This record from the Alexandria database describes a relaxed structure of Cd7Hg12Pb. The functional is PBE.

Values from the calculation:
Total moment = 0.00 μB per cell
Energy of formation from the pure elements = 0.10 eV/atom

abc: 9.3898 9.3898 9.3898
angles: 109.47 109.47 109.47
Closest atoms and distances in Å follow each position.
Positions (direct):
Hg: 0.8462 0.1220 0.2758  3 Cd 2.92-2.95
Hg: 0.7242 0.1538 0.8780  3 Cd 2.92-2.95
Hg: 0.2758 0.1538 0.4296  3 Cd 2.92-2.95
Hg: 0.2758 0.8462 0.1220  3 Cd 2.92-2.95
Hg: 0.8780 0.7242 0.1538  3 Cd 2.92-2.95
Hg: 0.7242 0.8462 0.5704  3 Cd 2.92-2.95
Pb: 0.0000 0.0000 0.0000  12 Hg 3.42
Hg: 0.5704 0.7242 0.8462  3 Cd 2.92-2.95
Hg: 0.8462 0.5704 0.7242  3 Cd 2.92-2.95
Cd: 0.5000 0.0000 0.5000  4 Hg 2.95
Cd: 0.5000 0.0000 0.0000  6 Hg 2.92
Cd: 0.0000 0.5000 0.0000  6 Hg 2.92
Hg: 0.1538 0.8780 0.7242  3 Cd 2.92-2.95
Cd: 0.0000 0.5000 0.5000  4 Hg 2.95
Hg: 0.1220 0.2758 0.8462  3 Cd 2.92-2.95
Cd: 0.5000 0.5000 0.0000  4 Hg 2.95
Hg: 0.4296 0.2758 0.1538  3 Cd 2.92-2.95
Hg: 0.1538 0.4296 0.2758  3 Cd 2.92-2.95
Cd: 0.0000 0.0000 0.5000  6 Hg 2.92
Cd: 0.5000 0.5000 0.5000  6 Hg 2.92

(4)
This record from the Alexandria database describes a relaxed structure of MgOsOF2. The functional is PBE.

Values from the calculation:
Total moment = 3.99 μB per cell
Formation energy (no corrections) = -91.8 kJ per mole of atoms

abc: 3.7045 3.7045 4.4703
angles: 90.00 90.00 90.00
Closest atoms and distances in Å follow each position.
Positions (direct):
Os: 0.5000 0.5000 0.5000  4 O 2.62, 8 F 2.90
Mg: 0.0000 0.0000 0.0000  4 F 1.85
F: 0.5000 0.0000 0.0000  2 Mg 1.85
F: 0.0000 0.5000 0.0000  2 Mg 1.85
O: 0.0000 0.0000 0.5000  2 Mg 2.24

(5)
This record from the Alexandria database describes a relaxed structure of Cd3Ga2Hg. The functional is PBE.

Values from the calculation:
Total moment = 0.00 μB per cell
Energy of formation from the pure elements = 0.05 eV/atom

abc: 3.1926 3.1926 12.9463
angles: 90.00 90.00 90.00
Closest atoms and distances in Å follow each position.
Positions (direct):
Cd: 0.0000 0.0000 0.6786  4 Ga 3.06, 4 Cd 3.19, 4 Hg 3.23
Cd: 0.0000 0.0000 0.0000  8 Ga 3.08, 4 Cd 3.19
Hg: 0.5000 0.5000 0.5000  4 Hg 3.19, 8 Cd 3.23
Ga: 0.5000 0.5000 0.8377  8 Cd 3.06-3.08, 4 Ga 3.19
Ga: 0.5000 0.5000 0.1623  8 Cd 3.06-3.08, 4 Ga 3.19
Cd: 0.0000 0.0000 0.3214  4 Ga 3.06, 4 Cd 3.19, 4 Hg 3.23

(6)
This record from the Alexandria database describes a relaxed structure of CuHgTe2. The functional is PBE.

Values from the calculation:
Total moment = 0.00 μB per cell
Formation energy (no corrections) = 25.1 kJ per mole of atoms

abc: 4.1244 4.6794 5.6330
angles: 90.02 90.00 90.00
Closest atoms and distances in Å follow each position.
Positions (direct):
Te: 0.5000 0.5000 0.0000  2 Cu 2.82, 4 Te 3.12
Te: 0.0000 0.0000 0.0000  2 Hg 2.82, 4 Te 3.12
Cu: 0.5000 0.5000 0.5000  2 Te 2.82, 4 Hg 3.12
Hg: 0.0000 0.0000 0.5000  2 Te 2.82, 4 Cu 3.12

(7)
This record from the Alexandria database describes a relaxed structure of Fe4ReHg. The functional is PBE.

Values from the calculation:
Total moment = 7.23 μB per cell
Energy of formation from the pure elements = 0.35 eV/atom

abc: 4.8114 4.8114 4.8114
angles: 60.00 60.00 60.00
Closest atoms and distances in Å follow each position.
Positions (direct):
Fe: 0.3735 0.3735 0.3735  6 Fe 2.38-2.43
Hg: 0.7500 0.7500 0.7500  12 Fe 2.82, 4 Re 2.95
Fe: 0.3735 0.8794 0.3735  6 Fe 2.38-2.43
Fe: 0.8794 0.3735 0.3735  6 Fe 2.38-2.43
Fe: 0.3735 0.3735 0.8794  6 Fe 2.38-2.43
Re: 0.0000 0.0000 0.0000  12 Fe 2.82, 4 Hg 2.95

(8)
This record from the Alexandria database describes a relaxed structure of NaLi4Br5. The functional is PBE.

Values from the calculation:
Total moment = 0.00 μB per cell
Formation energy (no corrections) = -146.2 kJ per mole of atoms

abc: 4.0050 4.0050 14.2418
angles: 98.08 98.08 90.00
Closest atoms and distances in Å follow each position.
Positions (direct):
Li: 0.3952 0.3952 0.7905  6 Br 2.71-2.92
Br: 0.7017 0.7017 0.4034  6 Li 2.70-2.83
Li: 0.7983 0.7983 0.5966  6 Br 2.68-2.83
Br: 0.5000 0.5000 0.0000  4 Na 2.83, 2 Li 2.92
Li: 0.2017 0.2017 0.4034  6 Br 2.68-2.83
Li: 0.6048 0.6048 0.2095  6 Br 2.71-2.92
Br: 0.1058 0.1058 0.2115  5 Li 2.68-2.83, 1 Na 2.95
Br: 0.2983 0.2983 0.5966  6 Li 2.70-2.83
Na: 0.0000 0.0000 0.0000  6 Br 2.83-2.95
Br: 0.8942 0.8942 0.7885  5 Li 2.68-2.83, 1 Na 2.95